# PBE Li2SnPb2, relaxed
# ΔE to the lowest computed polymorph in meV per atom: 159
# Electronic total energy in eV per cell: -15.33
# Energy relative to the elements in eV per atom: -0.017
# V in A^3/atom: 25.81
# Symmetry: I4/mmm
data_Li2SnPb2
_symmetry_space_group_name_H-M 'P 1'
_symmetry_Int_Tables_number 1
_cell_length_a 7.319
_cell_length_b 7.319
_cell_length_c 7.319
_cell_angle_alpha 144.89
_cell_angle_beta 144.89
_cell_angle_gamma 50.50
loop_
_symmetry_equiv_pos_as_xyz
'x,y,z'
loop_
_atom_site_label
_atom_site_fract_x
_atom_site_fract_y
_atom_site_fract_z
Li1 0.250 0.750 0.500
Li2 0.750 0.250 0.500
Sn1 0.000 0.000 0.000
Pb1 0.390 0.390 0.000
Pb2 0.610 0.610 0.000


# PBE CdInW, relaxed
# ΔE to the lowest computed polymorph in meV per atom: 14
# Electronic total energy in eV per cell: -31.59
# Energy relative to the elements in eV per atom: 0.271
# V in A^3/atom: 21.43
# Symmetry: P2_1
data_CdInW
_symmetry_space_group_name_H-M 'P 1'
_symmetry_Int_Tables_number 1
_cell_length_a 2.957
_cell_length_b 3.234
_cell_length_c 13.445
_cell_angle_alpha 90.00
_cell_angle_beta 91.51
_cell_angle_gamma 90.00
loop_
_symmetry_equiv_pos_as_xyz
'x,y,z'
loop_
_atom_site_label
_atom_site_fract_x
_atom_site_fract_y
_atom_site_fract_z
Cd1 0.232 0.000 0.083
Cd2 0.768 0.500 0.917
In1 0.325 0.496 0.717
In2 0.675 0.996 0.283
W1 0.162 0.497 0.439
W2 0.838 0.997 0.561


# PBE Pm2GdNi, relaxed
# ΔE to the lowest computed polymorph in meV per atom: 189
# Electronic total energy in eV per cell: -28.97
# Energy relative to the elements in eV per atom: 0.100
# V in A^3/atom: 30.50
# Symmetry: R-3m
data_Pm2GdNi
_symmetry_space_group_name_H-M 'P 1'
_symmetry_Int_Tables_number 1
_cell_length_a 10.684
_cell_length_b 10.684
_cell_length_c 10.684
_cell_angle_alpha 19.77
_cell_angle_beta 19.77
_cell_angle_gamma 19.77
loop_
_symmetry_equiv_pos_as_xyz
'x,y,z'
loop_
_atom_site_label
_atom_site_fract_x
_atom_site_fract_y
_atom_site_fract_z
Pm1 0.111 0.111 0.111
Pm2 0.889 0.889 0.889
Gd1 0.000 0.000 0.000
Ni1 0.500 0.500 0.500


# PBE Nd4Te2CBr, relaxed
# Electronic total energy in eV per cell: -44.71
# V in A^3/atom: 27.83
# Raw formation energy in eV per atom: -1.06
# Symmetry: P2/m
data_Nd4Te2CBr
_symmetry_space_group_name_H-M 'P 1'
_symmetry_Int_Tables_number 1
_cell_length_a 7.516
_cell_length_b 4.134
_cell_length_c 7.528
_cell_angle_alpha 90.00
_cell_angle_beta 107.88
_cell_angle_gamma 90.00
loop_
_symmetry_equiv_pos_as_xyz
'x,y,z'
loop_
_atom_site_label
_atom_site_fract_x
_atom_site_fract_y
_atom_site_fract_z
Nd1 0.198 0.000 0.200
Nd2 0.211 0.500 0.784
Nd3 0.789 0.500 0.216
Nd4 0.802 0.000 0.800
Te1 0.500 0.000 0.000
Te2 0.500 0.500 0.500
C1 0.000 0.500 0.000
Br1 0.000 0.000 0.500


# PBE Tb2LuAu, relaxed
# ΔE to the lowest computed polymorph in meV per atom: 126
# Electronic total energy in eV per cell: -18.05
# Energy relative to the elements in eV per atom: -0.249
# V in A^3/atom: 26.29
# Symmetry: P4/mmm
data_Tb2LuAu
_symmetry_space_group_name_H-M 'P 1'
_symmetry_Int_Tables_number 1
_cell_length_a 5.285
_cell_length_b 5.285
_cell_length_c 3.765
_cell_angle_alpha 90.00
_cell_angle_beta 90.00
_cell_angle_gamma 90.00
loop_
_symmetry_equiv_pos_as_xyz
'x,y,z'
loop_
_atom_site_label
_atom_site_fract_x
_atom_site_fract_y
_atom_site_fract_z
Tb1 0.000 0.500 0.000
Tb2 0.500 0.000 0.000
Lu1 0.000 0.000 0.500
Au1 0.500 0.500 0.500


# PBE Tm3In3PdRh2, relaxed
# Electronic total energy in eV per cell: -48.54
# Energy relative to the elements in eV per atom: -0.779
# V in A^3/atom: 21.03
# Symmetry: P-62m
data_Tm3In3PdRh2
_symmetry_space_group_name_H-M 'P 1'
_symmetry_Int_Tables_number 1
_cell_length_a 7.603
_cell_length_b 7.603
_cell_length_c 3.780
_cell_angle_alpha 90.00
_cell_angle_beta 90.00
_cell_angle_gamma 120.00
loop_
_symmetry_equiv_pos_as_xyz
'x,y,z'
loop_
_atom_site_label
_atom_site_fract_x
_atom_site_fract_y
_atom_site_fract_z
Tm1 0.000 0.592 0.000
Tm2 0.408 0.408 0.000
Tm3 0.592 0.000 0.000
In1 0.000 0.263 0.500
In2 0.263 0.000 0.500
In3 0.737 0.737 0.500
Pd1 0.000 0.000 0.000
Rh1 0.333 0.667 0.500
Rh2 0.667 0.333 0.500


# PBE HfTaTeN2, relaxed
# ΔE to the lowest computed polymorph in meV per atom: 0
# Electronic total energy in eV per cell: -40.18
# V in A^3/atom: 18.30
# Raw formation energy in eV per atom: 0.28
# Symmetry: P4/mmm
data_HfTaTeN2
_symmetry_space_group_name_H-M 'P 1'
_symmetry_Int_Tables_number 1
_cell_length_a 4.071
_cell_length_b 4.071
_cell_length_c 5.520
_cell_angle_alpha 90.00
_cell_angle_beta 90.00
_cell_angle_gamma 90.00
loop_
_symmetry_equiv_pos_as_xyz
'x,y,z'
loop_
_atom_site_label
_atom_site_fract_x
_atom_site_fract_y
_atom_site_fract_z
Hf1 0.000 0.000 0.000
Ta1 0.500 0.500 0.500
Te1 0.500 0.500 0.000
N1 0.000 0.500 0.500
N2 0.500 0.000 0.500


# PBE KLiReBr6, relaxed
# Electronic total energy in eV per cell: -66.82
# V in A^3/atom: 33.39
# Raw formation energy in eV per atom: -0.88
# Symmetry: P-31c
data_KLiReBr6
_symmetry_space_group_name_H-M 'P 1'
_symmetry_Int_Tables_number 1
_cell_length_a 6.913
_cell_length_b 6.913
_cell_length_c 14.520
_cell_angle_alpha 90.00
_cell_angle_beta 90.00
_cell_angle_gamma 120.00
loop_
_symmetry_equiv_pos_as_xyz
'x,y,z'
loop_
_atom_site_label
_atom_site_fract_x
_atom_site_fract_y
_atom_site_fract_z
K1 0.000 0.000 0.000
K2 0.000 0.000 0.500
Li1 0.333 0.667 0.250
Li2 0.667 0.333 0.750
Re1 0.333 0.667 0.750
Re2 0.667 0.333 0.250
Br1 0.023 0.379 0.649
Br2 0.023 0.644 0.851
Br3 0.356 0.379 0.851
Br4 0.356 0.977 0.649
Br5 0.379 0.023 0.149
Br6 0.379 0.356 0.351
Br7 0.621 0.644 0.649
Br8 0.621 0.977 0.851
Br9 0.644 0.023 0.351
Br10 0.644 0.621 0.149
Br11 0.977 0.356 0.149
Br12 0.977 0.621 0.351